1.
Below is crystalline Dy2Ga5Co3 at its relaxed geometry, with properties calculated at the PBE level.

Cell and atoms, written as POSCAR:
```
Dy2Ga5Co3
1.0
-4.801 6.214 2.752
4.801 -6.214 2.752
4.801 6.214 -2.752
Dy Ga Co
4 10 6
Direct
0.145 0.223 0.368
0.355 0.723 0.078
0.645 0.277 0.922
0.855 0.777 0.632
0.047 0.750 0.297
0.083 0.681 0.764
0.250 0.250 0.000
0.417 0.181 0.598
0.453 0.750 0.703
0.547 0.250 0.297
0.583 0.819 0.402
0.750 0.750 0.000
0.917 0.319 0.236
0.953 0.250 0.703
0.150 0.916 0.066
0.250 0.750 0.500
0.350 0.416 0.766
0.650 0.584 0.234
0.750 0.250 0.500
0.850 0.084 0.934
```

Computed properties:
For the formation energy, the calculation gives -0.5054 eV/atom.

---

2.
Below is crystalline TeCl6 at its relaxed geometry, with properties calculated at the PBE level.

Cell and atoms, written as POSCAR:
```
TeCl6
1.0
13.002 0.000 0.000
0.000 11.490 0.000
0.000 0.000 6.767
Te Cl
4 24
Direct
0.133 0.250 0.097
0.367 0.750 0.597
0.633 0.250 0.403
0.867 0.750 0.903
0.009 0.250 0.839
0.038 0.104 0.264
0.038 0.396 0.264
0.228 0.104 0.929
0.228 0.396 0.929
0.244 0.750 0.855
0.256 0.250 0.355
0.272 0.604 0.429
0.272 0.896 0.429
0.462 0.604 0.764
0.462 0.896 0.764
0.491 0.750 0.339
0.509 0.250 0.661
0.538 0.104 0.236
0.538 0.396 0.236
0.728 0.104 0.571
0.728 0.396 0.571
0.744 0.750 0.645
0.756 0.250 0.145
0.772 0.604 0.071
0.772 0.896 0.071
0.962 0.604 0.736
0.962 0.896 0.736
0.991 0.750 0.161
```

Computed properties:
The uncorrected formation energy is -0.36 eV per atom.